The following is a DFT calculation (PBE-GGA) of a relaxed CeDyCo2P2 crystal.

The calculation puts the total energy at -42.101 eV for the cell shown. As for the density of states at the Fermi level: 7.00 states/eV per cell.

Cell: 3.8717 3.8717 7.8545 Å, 90.00 90.00 120.00°
Closest atoms and distances in Å follow each position.
Positions (direct):
Ce 0.0000 0.0000 0.0000  6 Co 2.90, 6 P 3.04
Dy 0.0000 0.0000 0.5000  6 P 2.91, 6 Co 3.06
Co 0.3333 0.6667 0.7652  3 P 2.25
Co 0.6667 0.3333 0.2348  3 P 2.25
P 0.3333 0.6667 0.2630  3 Co 2.25
P 0.6667 0.3333 0.7370  3 Co 2.25